TePb6Se3S2 | PBE-GGA | optimized geometry

Computed properties:
size of the total moment	0.000	μB per atom
formation energy from raw total energies	-49.2	kJ per mole of atoms

abc: 4.385 8.782 9.807
angles: 103.00 102.92 90.00
Sites, in units of the cell vectors:
Te (0.500, 0.000, 0.000)
Pb (0.328, 0.906, 0.655)
Pb (0.670, 0.579, 0.341)
Pb (0.672, 0.094, 0.345)
Pb (0.004, 0.265, 0.007)
Pb (0.996, 0.735, 0.993)
Pb (0.330, 0.421, 0.659)
Se (0.500, 0.500, 0.000)
Se (0.837, 0.169, 0.673)
Se (0.163, 0.831, 0.327)
S (0.830, 0.665, 0.659)
S (0.170, 0.335, 0.341)